No. 1
Here is an optimized crystal structure of K3HoCl6 from Alexandria. Energies are from GGA-PBEsol.

abc: 7.7555 7.7555 7.7555
angles: 60.00 60.00 60.00
Last column: nearest neighbours and their distance in Å.
Sites, in units of the cell vectors:
Cl 0.2647 0.7353 0.7353  1 Ho 2.58
Cl 0.2647 0.7353 0.2647  1 Ho 2.58
Cl 0.2647 0.2647 0.7353  1 Ho 2.58
Cl 0.7353 0.2647 0.7353  1 Ho 2.58
Cl 0.7353 0.2647 0.2647  1 Ho 2.58
Cl 0.7353 0.7353 0.2647  1 Ho 2.58
K 0.2500 0.2500 0.2500  12 Cl 3.88
K 0.7500 0.7500 0.7500  12 Cl 3.88
K 0.0000 0.0000 0.0000  6 Cl 2.90
Ho 0.5000 0.5000 0.5000  6 Cl 2.58

## Properties
- formation energy from raw total energies (eV per atom) = -2.041
- space-group type = Fm-3m

No. 2
Here is an optimized crystal structure of La2YAs from Alexandria. Energies are from GGA-PBEsol.

abc: 3.9266 3.9266 7.4651
angles: 90.00 90.00 90.00
Last column: nearest neighbours and their distance in Å.
Sites, in units of the cell vectors:
La 0.0000 0.0000 0.2979  1 La 3.02, 4 As 3.16
La 0.0000 0.0000 0.7021  1 La 3.02, 4 As 3.16
As 0.5000 0.5000 0.5000  8 La 3.16
Y 0.5000 0.5000 0.0000  8 La 3.56, 2 As 3.73, 4 Y 3.93

## Properties
- final energy (eV/cell) = -24.891
- space-group type = P4/mmm